No. 1
# Ta3IrPt2 | Alexandria via LeMat-Bulk | PBE | optimized geometry
data_Ta3IrPt2
_space_group_name_H-M_alt 'P 4/m m m'
_space_group_IT_number 123
_space_group_name_Hall '-P 4 2'
_cell_length_a 2.836
_cell_length_b 2.836
_cell_length_c 12.180
_cell_angle_alpha 90.00
_cell_angle_beta 90.00
_cell_angle_gamma 90.00
loop_
_atom_site_label
_atom_site_type_symbol
_atom_site_fract_x
_atom_site_fract_y
_atom_site_fract_z
_atom_site_occupancy
Ta1 Ta 0.000 0.000 0.000 1
Ta2 Ta 0.000 0.000 0.340 1
Ir1 Ir 0.500 0.500 0.500 1
Pt1 Pt 0.500 0.500 0.167 1
# Density of states at the Fermi level = 4.91 states/eV per cell
# Energy relative to the elements = -0.645 eV/atom
# Total magnetic moment = 0.0 μB per cell

***

No. 2
# Ta3Ir2Pt | Alexandria via LeMat-Bulk | PBE | optimized geometry
data_Ta3Ir2Pt
_space_group_name_H-M_alt 'P 4/m m m'
_space_group_IT_number 123
_space_group_name_Hall '-P 4 2'
_cell_length_a 2.863
_cell_length_b 2.863
_cell_length_c 11.885
_cell_angle_alpha 90.00
_cell_angle_beta 90.00
_cell_angle_gamma 90.00
loop_
_atom_site_label
_atom_site_type_symbol
_atom_site_fract_x
_atom_site_fract_y
_atom_site_fract_z
_atom_site_occupancy
Ta1 Ta 0.000 0.000 0.000 1
Ta2 Ta 0.000 0.000 0.327 1
Ir1 Ir 0.500 0.500 0.165 1
Pt1 Pt 0.500 0.500 0.500 1
# Density of states at the Fermi level = 4.97 states/eV per cell
# Energy relative to the elements = -0.615 eV/atom
# Total magnetic moment = 0.0 μB per cell